Record 1
KRb4Cl5 | PBE-GGA | optimized geometry

Computed properties:
calculated volume = 364 Å³/f.u.
SG = R-3m (166)
energy relative to the elements, uncorrected = -1.944 eV/atom

a = 4.6885 Å, b = 4.6885 Å, c = 19.3323 Å
α = 83.04°, β = 83.04°, γ = 60.00°
With the nearest neighbours (Å) after each atom.
Positions (direct):
1 Cl 0.0000 0.0000 0.0000  6 Rb 3.34
2 Cl 0.8027 0.8027 0.5920  3 K 3.23, 3 Rb 3.34
3 Cl 0.4014 0.4014 0.7957  6 Rb 3.33-3.34
4 Cl 0.1973 0.1973 0.4080  3 K 3.23, 3 Rb 3.34
5 Cl 0.5986 0.5986 0.2043  6 Rb 3.33-3.34
6 Rb 0.1019 0.1019 0.6943  6 Cl 3.33-3.34
7 Rb 0.8981 0.8981 0.3057  6 Cl 3.33-3.34
8 Rb 0.7007 0.7007 0.8979  6 Cl 3.34
9 Rb 0.2993 0.2993 0.1021  6 Cl 3.34
10 K 0.5000 0.5000 0.5000  6 Cl 3.23



Record 2
CsFeSe | PBE-GGA | optimized geometry

Computed properties:
calculated volume = 93 Å³/f.u.
SG = P4/nmm (129)
energy relative to the elements, uncorrected = -0.339 eV/atom

a = 3.9386 Å, b = 3.9386 Å, c = 11.9545 Å
α = 90.00°, β = 90.00°, γ = 90.00°
With the nearest neighbours (Å) after each atom.
Positions (direct):
1 Cs 0.0000 0.5000 0.7874  4 Se 3.53, 4 Cs 3.94
2 Cs 0.5000 0.0000 0.2126  4 Se 3.53, 4 Cs 3.94
3 Se 0.0000 0.5000 0.3943  4 Fe 2.34
4 Se 0.5000 0.0000 0.6057  4 Fe 2.34
5 Fe 0.0000 0.0000 0.5000  4 Se 2.34
6 Fe 0.5000 0.5000 0.5000  4 Se 2.34



Record 3
SrCa4Co | PBE-GGA | optimized geometry

Computed properties:
calculated volume = 244 Å³/f.u.
calculated formation energy = 63.1 kJ/mol of atoms
SG = F-43m (216)

a = 7.0117 Å, b = 7.0117 Å, c = 7.0117 Å
α = 60.00°, β = 60.00°, γ = 60.00°
With the nearest neighbours (Å) after each atom.
Positions (direct):
1 Ca 0.3756 0.8731 0.3756  6 Ca 3.49-3.52
2 Ca 0.8731 0.3756 0.3756  6 Ca 3.49-3.52
3 Ca 0.3756 0.3756 0.3756  6 Ca 3.49-3.52
4 Ca 0.3756 0.3756 0.8731  6 Ca 3.49-3.52
5 Co 0.7500 0.7500 0.7500  12 Ca 4.11, 4 Sr 4.29
6 Sr 0.0000 0.0000 0.0000  12 Ca 4.11, 4 Co 4.29